No. 1
VASP calculation (PBE) on crystalline KPd3I at its relaxed geometry.

```
KPd3I
1.0
5.118 0.000 0.000
0.000 5.118 0.000
0.000 0.000 5.118
I Pd K
1 3 1
direct
0.000 0.000 0.000 I
0.000 0.500 0.000 Pd
0.500 0.000 0.000 Pd
0.000 0.000 0.500 Pd
0.500 0.500 0.500 K
```

Summary:
Relative energy among the computed polymorphs ... 0 meV/atom
Formation energy without anion corrections ... 50 kJ/mol of formula units
DFT total energy ... -17.71 eV per cell

***

No. 2
VASP calculation (PBE) on crystalline GdZr2Np at its relaxed geometry.

```
GdZr2Np
1.0
3.774 0.000 0.000
0.000 3.774 0.000
0.000 0.000 7.159
Zr Np Gd
2 1 1
direct
0.000 0.000 0.791 Zr
0.000 0.000 0.209 Zr
0.500 0.500 0.000 Np
0.500 0.500 0.500 Gd
```

Summary:
Calculated formation energy ... 313.4 meV per atom
DFT total energy ... -42.86 eV per cell

***

No. 3
VASP calculation (PBE) on crystalline YSi4Os2 at its relaxed geometry.

```
YSi4Os2
1.0
4.074 0.000 0.000
0.000 6.651 0.000
0.000 0.000 16.257
Si Os Y
16 8 4
direct
0.750 0.220 0.299 Si
0.250 0.373 0.020 Si
0.750 0.653 0.306 Si
0.750 0.847 0.806 Si
0.750 0.983 0.052 Si
0.750 0.280 0.799 Si
0.250 0.127 0.520 Si
0.250 0.153 0.194 Si
0.250 0.017 0.948 Si
0.250 0.483 0.448 Si
0.250 0.347 0.694 Si
0.750 0.627 0.980 Si
0.250 0.780 0.701 Si
0.250 0.720 0.201 Si
0.750 0.873 0.480 Si
0.750 0.517 0.552 Si
0.250 0.742 0.048 Os
0.250 0.057 0.801 Os
0.750 0.258 0.952 Os
0.750 0.242 0.452 Os
0.250 0.758 0.548 Os
0.250 0.443 0.301 Os
0.750 0.943 0.199 Os
0.750 0.557 0.699 Os
0.750 0.070 0.642 Y
0.250 0.930 0.358 Y
0.750 0.430 0.142 Y
0.250 0.570 0.858 Y
```

Summary:
Relative energy among the computed polymorphs ... 0 meV/atom
Formation energy without anion corrections ... -371 kJ/mol of formula units
DFT total energy ... -217.85 eV per cell

***

No. 4
VASP calculation (PBE) on crystalline ScMn2Ru at its relaxed geometry.

```
ScMn2Ru
1.0
-1.883 1.665 -1.284
0.770 -1.763 -3.416
-3.871 -3.612 0.992
Sc Mn Ru
1 2 1
direct
0.500 0.500 0.750 Sc
0.000 0.000 0.477 Mn
0.000 0.000 0.023 Mn
0.500 0.500 0.250 Ru
```

Summary:
Relative energy among the computed polymorphs ... 197 meV/atom
Calculated formation energy ... 131.8 meV per atom
DFT total energy ... -33.42 eV per cell

***

No. 5
VASP calculation (PBE) on crystalline LiAg2Sb2 at its relaxed geometry.

```
LiAg2Sb2
1.0
4.535 0.000 0.000
0.000 4.535 0.000
2.268 2.268 6.162
Ag Li Sb
2 1 2
direct
0.750 0.250 0.500 Ag
0.250 0.750 0.500 Ag
0.000 0.000 0.000 Li
0.613 0.613 0.773 Sb
0.387 0.387 0.227 Sb
```

Summary:
Relative energy among the computed polymorphs ... 64 meV/atom
Formation energy without anion corrections ... -22 kJ/mol of formula units
DFT total energy ... -16.09 eV per cell

***

No. 6
VASP calculation (PBE) on crystalline TaTcC2 at its relaxed geometry.

```
TaTcC2
1.0
-0.915 4.025 2.173
-2.538 1.397 -3.657
-5.681 0.737 1.249
C Tc Ta
4 2 2
direct
0.143 0.625 0.250 C
0.875 0.857 0.750 C
0.607 0.125 0.250 C
0.375 0.393 0.750 C
0.500 0.500 0.000 Tc
0.250 0.750 0.500 Tc
0.750 0.250 0.500 Ta
0.000 0.000 0.000 Ta
```

Summary:
Relative energy among the computed polymorphs ... 0 meV/atom
Calculated formation energy ... 304.2 meV per atom
DFT total energy ... -78.90 eV per cell

***

No. 7
VASP calculation (PBE) on crystalline PmPr12Tl6 at its relaxed geometry.

```
PmPr12Tl6
1.0
9.048 0.097 0.136
-2.149 8.790 0.136
-2.149 -2.769 8.344
Tl Pr Pm
6 12 1
direct
0.278 0.739 0.739 Tl
0.739 0.278 0.739 Tl
0.261 0.722 0.261 Tl
0.261 0.261 0.722 Tl
0.722 0.261 0.261 Tl
0.739 0.739 0.278 Tl
0.425 0.425 0.162 Pr
0.575 0.575 0.838 Pr
0.575 0.838 0.575 Pr
0.162 0.425 0.425 Pr
0.892 0.500 0.108 Pr
0.108 0.500 0.892 Pr
0.108 0.892 0.500 Pr
0.500 0.892 0.108 Pr
0.892 0.108 0.500 Pr
0.500 0.108 0.892 Pr
0.838 0.575 0.575 Pr
0.425 0.162 0.425 Pr
0.000 0.000 0.000 Pm
```

Summary:
Calculated formation energy ... -9.2 meV per atom
DFT total energy ... -76.48 eV per cell

***

No. 8
VASP calculation (PBE) on crystalline ZnCuS2 at its relaxed geometry.

```
ZnCuS2
1.0
-2.876 1.307 -4.303
-2.879 -4.459 0.570
-6.320 1.042 1.229
Cu Zn S
2 2 4
direct
0.500 0.500 0.000 Cu
0.250 0.750 0.500 Cu
0.750 0.250 0.500 Zn
0.000 0.000 0.000 Zn
0.875 0.864 0.750 S
0.136 0.625 0.250 S
0.375 0.386 0.750 S
0.614 0.125 0.250 S
```

Summary:
Formation energy without anion corrections ... -172 kJ/mol of formula units
DFT total energy ... -30.82 eV per cell

***

No. 9
VASP calculation (PBE) on crystalline BaMoCl2 at its relaxed geometry.

```
BaMoCl2
1.0
-0.194 3.591 -2.134
-0.451 -1.935 -3.214
-6.168 0.133 0.785
Cl Mo Ba
2 1 1
direct
0.000 0.250 0.014 Cl
0.000 0.250 0.486 Cl
0.500 0.250 0.250 Mo
0.500 0.750 0.750 Ba
```

Summary:
Relative energy among the computed polymorphs ... 82 meV/atom
Formation energy without anion corrections ... -175 kJ/mol of formula units
DFT total energy ... -18.26 eV per cell

***

No. 10
VASP calculation (PBE) on crystalline TiCuPt3 at its relaxed geometry.

```
TiCuPt3
1.0
-2.295 3.880 0.467
-3.713 -1.995 -1.664
-1.219 -1.226 4.189
Pt Ti Cu
3 1 1
direct
0.000 0.000 0.500 Pt
0.000 0.500 0.000 Pt
0.500 0.000 0.000 Pt
0.500 0.500 0.500 Ti
0.000 0.000 0.000 Cu
```

Summary:
Relative energy among the computed polymorphs ... 1184 meV/atom
Calculated formation energy ... 638.8 meV per atom
DFT total energy ... -26.92 eV per cell

***

No. 11
VASP calculation (PBE) on crystalline Tb2TmTh3Se6 at its relaxed geometry.

```
Tb2TmTh3Se6
1.0
-1.791 2.473 -2.640
-7.382 -4.018 1.244
1.566 5.720 7.384
Se Th Tm Tb
6 3 1 2
direct
0.661 0.089 0.322 Se
0.330 0.426 0.660 Se
0.339 0.911 0.678 Se
0.670 0.574 0.340 Se
0.003 0.237 0.006 Se
0.997 0.763 0.994 Se
0.500 0.500 0.000 Th
0.168 0.833 0.335 Th
0.832 0.167 0.665 Th
0.500 0.000 0.000 Tm
0.833 0.667 0.666 Tb
0.167 0.333 0.334 Tb
```

Summary:
Formation energy without anion corrections ... -1887 kJ/mol of formula units
DFT total energy ... -76.45 eV per cell

***

No. 12
VASP calculation (PBE) on crystalline Y2ZnGa at its relaxed geometry.

```
Y2ZnGa
1.0
-7.192 2.125 2.010
-2.773 -6.653 -2.886
-4.568 -3.772 2.640
Ga Zn Y
2 2 4
direct
0.750 0.250 0.500 Ga
0.000 0.000 0.000 Ga
0.500 0.500 0.000 Zn
0.250 0.750 0.500 Zn
0.622 0.125 0.250 Y
0.128 0.625 0.250 Y
0.375 0.378 0.750 Y
0.875 0.872 0.750 Y
```

Summary:
Calculated formation energy ... -105.1 meV per atom
DFT total energy ... -35.30 eV per cell

***

No. 13
VASP calculation (PBE) on crystalline Nd5ThN4 at its relaxed geometry.

```
Nd5ThN4
1.0
-1.861 3.001 -0.897
1.504 -1.232 -7.240
-5.934 -5.440 1.515
N Nd Th
4 5 1
direct
0.001 0.239 0.003 N
0.999 0.761 0.997 N
0.336 0.919 0.672 N
0.664 0.081 0.328 N
0.500 0.500 0.000 Nd
0.840 0.691 0.680 Nd
0.834 0.151 0.667 Nd
0.166 0.849 0.333 Nd
0.160 0.309 0.320 Nd
0.500 0.000 0.000 Th
```

Summary:
Formation energy without anion corrections ... -1074 kJ/mol of formula units
DFT total energy ... -75.69 eV per cell

***

No. 14
VASP calculation (PBE) on crystalline YScMn2 at its relaxed geometry.

```
YScMn2
1.0
-1.849 0.588 -2.559
-3.728 -2.560 2.106
-3.254 3.276 3.104
Sc Mn Y
1 2 1
direct
0.500 0.500 0.000 Sc
0.500 0.000 0.500 Mn
0.000 0.000 0.000 Mn
0.000 0.500 0.500 Y
```

Summary:
Calculated formation energy ... 427.6 meV per atom
DFT total energy ... -29.42 eV per cell

***

No. 15
VASP calculation (PBE) on crystalline ErTmSnRh at its relaxed geometry.

```
ErTmSnRh
1.0
5.043 0.000 0.000
2.522 4.368 0.000
2.522 1.456 4.118
Er Rh Tm Sn
1 1 1 1
direct
0.750 0.750 0.750 Er
0.500 0.500 0.500 Rh
0.250 0.250 0.250 Tm
0.000 0.000 0.000 Sn
```

Summary:
Calculated formation energy ... -676.9 meV per atom
DFT total energy ... -23.10 eV per cell

***

No. 16
VASP calculation (PBE) on crystalline BaMgAl2Ag4 at its relaxed geometry.

```
BaMgAl2Ag4
1.0
4.579 0.000 0.000
2.290 3.966 0.000
2.290 1.322 9.816
Al Ag Mg Ba
2 4 1 1
direct
0.765 0.765 0.704 Al
0.235 0.235 0.296 Al
0.410 0.410 0.771 Ag
0.131 0.131 0.606 Ag
0.869 0.869 0.394 Ag
0.590 0.590 0.229 Ag
0.500 0.500 0.500 Mg
0.000 0.000 0.000 Ba
```

Summary:
Calculated formation energy ... -161.9 meV per atom
DFT total energy ... -23.70 eV per cell

***

No. 17
VASP calculation (PBE) on crystalline Rb2NbSnCl6 at its relaxed geometry.

```
Rb2NbSnCl6
1.0
-2.998 3.054 -6.301
-6.672 -3.326 1.562
-6.337 4.200 0.447
Cl Rb Nb Sn
6 2 1 1
direct
0.261 0.739 0.000 Cl
0.739 0.739 0.000 Cl
0.261 0.261 0.000 Cl
0.261 0.261 0.479 Cl
0.739 0.739 0.521 Cl
0.739 0.261 0.000 Cl
0.250 0.750 0.500 Rb
0.750 0.250 0.500 Rb
0.500 0.500 0.000 Nb
0.000 0.000 0.000 Sn
```

Summary:
Formation energy without anion corrections ... -1252 kJ/mol of formula units
DFT total energy ... -40.06 eV per cell

***

No. 18
VASP calculation (PBE) on crystalline LaMo3Rh at its relaxed geometry.

```
LaMo3Rh
1.0
4.829 0.000 0.000
0.000 4.829 0.000
0.000 0.000 4.829
Mo La Rh
3 1 1
direct
0.500 0.000 0.000 Mo
0.000 0.000 0.500 Mo
0.000 0.500 0.000 Mo
0.500 0.500 0.500 La
0.000 0.000 0.000 Rh
```

Summary:
Relative energy among the computed polymorphs ... 0 meV/atom
Calculated formation energy ... 1128.9 meV per atom
DFT total energy ... -39.13 eV per cell

***

No. 19
VASP calculation (PBE) on crystalline P2AuS2 at its relaxed geometry.

```
P2AuS2
1.0
4.849 0.000 0.000
0.000 4.849 0.000
0.000 0.000 4.665
Au S P
1 2 2
direct
0.000 0.000 0.000 Au
0.500 0.000 0.000 S
0.000 0.500 0.000 S
0.000 0.000 0.500 P
0.500 0.500 0.500 P
```

Summary:
Relative energy among the computed polymorphs ... 1298 meV/atom
Formation energy without anion corrections ... 616 kJ/mol of formula units
DFT total energy ... -15.97 eV per cell

***

No. 20
VASP calculation (PBE) on crystalline TaFe2Co at its relaxed geometry.

```
TaFe2Co
1.0
4.828 -0.014 0.005
3.832 2.938 0.005
1.683 0.568 3.621
Fe Co Ta
2 1 1
direct
0.003 0.003 0.997 Fe
0.744 0.744 0.756 Fe
0.254 0.254 0.246 Co
0.498 0.498 0.502 Ta
```

Summary:
Calculated formation energy ... -67.8 meV per atom
DFT total energy ... -36.16 eV per cell